Entry 1:
VASP calculation (GGA-PBE) on AcMgZnSn after structural relaxation.

Calculated values
- DOS(E_F) (states/eV per cell) = 4.240
- total moment (μB per cell) = 0.000
- ΔE_f (eV per formula unit) = -1.14
- electronic total energy (eV/atom) = -3.03

Unit cell a=5.367 b=5.367 c=5.367 alpha=60.00 beta=60.00 gamma=60.00
Positions (direct):
Ac  0.250  0.250  0.250
Mg  0.750  0.750  0.750
Zn  0.000  0.000  0.000
Sn  0.500  0.500  0.500



Entry 2:
VASP calculation (GGA-PBE) on Ce2TaFe2N6 after structural relaxation.

Calculated values
- DOS(E_F) (states/eV per cell) = 11.306
- total moment (μB per cell) = 5.821
- electronic total energy (eV/atom) = -8.84
- uncorrected formation energy (eV/f.u.) = -6.6

Unit cell a=5.722 b=5.722 c=6.199 alpha=62.52 beta=62.52 gamma=60.00
Positions (direct):
N  0.243  0.770  0.743
N  0.770  0.243  0.743
N  0.757  0.757  0.257
N  0.230  0.757  0.257
N  0.757  0.230  0.257
N  0.243  0.243  0.743
Ta  0.000  0.000  0.000
Fe  0.572  0.572  0.285
Fe  0.428  0.428  0.715
Ce  0.212  0.212  0.364
Ce  0.788  0.788  0.636



Entry 3:
VASP calculation (GGA-PBE) on YRhW2 after structural relaxation.

Calculated values
- DOS(E_F) (states/eV per cell) = 3.159
- E above lowest polymorph (eV/atom) = 0.157
- total moment (μB per cell) = 0.000
- ΔE_f (eV per formula unit) = 0.82
- electronic total energy (eV/atom) = -9.72

Unit cell a=4.276 b=2.914 c=6.021 alpha=77.13 beta=90.00 gamma=90.00
Positions (direct):
Rh  0.500  0.784  0.774
W  0.000  0.020  0.008
W  0.500  0.204  0.210
Y  0.000  0.493  0.509



Entry 4:
VASP calculation (GGA-PBE) on MoHI2N after structural relaxation.

Calculated values
- DOS(E_F) (states/eV per cell) = 2.681
- E above lowest polymorph (eV/atom) = 0.000
- total moment (μB per cell) = 0.196
- electronic total energy (eV/atom) = -4.50

Unit cell a=5.617 b=5.617 c=3.821 alpha=90.00 beta=90.00 gamma=90.00
Positions (direct):
H  0.500  0.500  0.500
I  0.500  0.000  0.000
I  0.000  0.500  0.000
Mo  0.000  0.000  0.000
N  0.000  0.000  0.500



Entry 5:
VASP calculation (GGA-PBE) on Hf3Zr3Tl after structural relaxation.

Calculated values
- DOS(E_F) (states/eV per cell) = 20.815
- E above lowest polymorph (eV/atom) = 0.055
- total moment (μB per cell) = 0.000
- ΔE_f (eV per formula unit) = 0.49
- electronic total energy (eV/atom) = -8.20

Unit cell a=5.128 b=8.491 c=8.491 alpha=120.00 beta=90.00 gamma=90.00
Positions (direct):
Zr  0.250  0.822  0.751
Zr  0.750  0.071  0.822
Zr  0.750  0.751  0.929
Zr  0.250  0.249  0.071
Zr  0.250  0.929  0.178
Zr  0.750  0.178  0.249
Hf  0.250  0.098  0.610
Hf  0.750  0.902  0.390
Hf  0.250  0.390  0.487
Hf  0.250  0.513  0.902
Hf  0.750  0.487  0.098
Hf  0.750  0.610  0.513
Tl  0.750  0.333  0.667
Tl  0.250  0.667  0.333



Entry 6:
VASP calculation (GGA-PBE) on La2Pm6YEr after structural relaxation.

Calculated values
- DOS(E_F) (states/eV per cell) = 30.153
- total moment (μB per cell) = 0.000
- ΔE_f (eV per formula unit) = 1.13
- electronic total energy (eV/atom) = -4.83

Unit cell a=10.024 b=8.920 c=8.920 alpha=118.26 beta=95.01 gamma=95.01
Positions (direct):
La  0.541  0.195  0.296
La  0.041  0.296  0.195
La  0.459  0.805  0.704
La  0.959  0.704  0.805
Pm  0.121  0.707  0.502
Pm  0.189  0.580  0.020
Pm  0.379  0.498  0.293
Pm  0.689  0.020  0.580
Pm  0.811  0.420  0.980
Pm  0.056  0.125  0.744
Pm  0.621  0.502  0.707
Pm  0.311  0.980  0.420
Pm  0.556  0.744  0.125
Pm  0.444  0.256  0.875
Pm  0.879  0.293  0.498
Pm  0.944  0.875  0.256
Y  0.750  0.014  0.986
Y  0.250  0.986  0.014
Er  0.750  0.595  0.405
Er  0.250  0.405  0.595